Density functional theory data (GGA-PBE) for crystalline MnHg2Mo at its relaxed geometry.

Structure (POSCAR):
```
MnHg2Mo
1.0
2.908 0.000 0.000
0.000 2.908 0.000
0.000 0.000 8.481
Mn Hg Mo
1 2 1
Direct
0.000 0.000 0.000
0.500 0.500 0.242
0.500 0.500 0.758
0.000 0.000 0.500
```

Calculated values
Distance to the lowest polymorph of the same formula = 137.9 meV per atom
M_tot = 3.694 μB per formula unit



Density functional theory data (GGA-PBE) for crystalline MnHgMo2 at its relaxed geometry.

Structure (POSCAR):
```
MnHgMo2
1.0
1.427 0.824 9.144
-1.427 0.824 9.144
0.000 -1.648 9.144
Mn Hg Mo
1 1 2
Direct
0.000 0.000 0.000
0.500 0.500 0.500
0.261 0.261 0.261
0.739 0.739 0.739
```

Calculated values
M_tot = 1.064 μB per formula unit



Density functional theory data (GGA-PBE) for crystalline MnHgMo2 at its relaxed geometry.

Structure (POSCAR):
```
MnHgMo2
1.0
2.791 0.000 0.000
0.000 4.153 0.000
-0.745 0.000 5.761
Mn Hg Mo
1 1 2
Direct
0.000 0.000 0.000
0.450 0.500 0.740
0.486 0.500 0.234
0.858 0.000 0.452
```

Calculated values
M_tot = 3.068 μB per formula unit



Density functional theory data (GGA-PBE) for crystalline Mn3HgMo at its relaxed geometry.

Structure (POSCAR):
```
Mn3HgMo
1.0
4.637 0.000 0.000
0.000 4.637 0.000
0.000 0.000 4.637
Mn Hg Mo
3 1 1
Direct
0.000 0.000 0.500
0.000 0.500 0.000
0.500 0.000 0.000
0.500 0.500 0.500
0.000 0.000 0.000
```

Calculated values
Distance to the lowest polymorph of the same formula = 0.0 meV per atom
M_tot = 8.268 μB per formula unit



Density functional theory data (GGA-PBE) for crystalline MnHg2Mo at its relaxed geometry.

Structure (POSCAR):
```
MnHg2Mo
1.0
-3.725 3.725 2.711
3.725 -3.725 2.711
3.725 3.725 -2.711
Mn Hg Mo
2 4 2
Direct
0.000 0.000 0.000
0.750 0.250 0.500
0.105 0.125 0.480
0.375 0.895 0.020
0.645 0.625 0.520
0.875 0.355 0.980
0.250 0.750 0.500
0.500 0.500 0.000
```

Calculated values
Distance to the lowest polymorph of the same formula = 852.0 meV per atom
M_tot = 0.101 μB per formula unit



Density functional theory data (GGA-PBE) for crystalline Mn2HgMo at its relaxed geometry.

Structure (POSCAR):
```
Mn2HgMo
1.0
0.000 3.180 3.180
3.180 0.000 3.180
3.180 3.180 0.000
Mn Hg Mo
2 1 1
Direct
0.000 0.000 0.000
0.250 0.250 0.250
0.500 0.500 0.500
0.750 0.750 0.750
```

Calculated values
M_tot = 5.027 μB per formula unit



Density functional theory data (GGA-PBE) for crystalline MnHgMo2 at its relaxed geometry.

Structure (POSCAR):
```
MnHgMo2
1.0
-1.882 1.882 10.016
1.882 -1.882 10.016
1.882 1.882 -10.016
Mn Hg Mo
2 2 4
Direct
0.000 0.000 0.000
0.750 0.250 0.500
0.250 0.750 0.500
0.500 0.500 0.000
0.104 0.625 0.979
0.375 0.354 0.479
0.646 0.125 0.021
0.875 0.896 0.521
```

Calculated values
M_tot = 3.459 μB per formula unit



Density functional theory data (GGA-PBE) for crystalline MnHg2Mo at its relaxed geometry.

Structure (POSCAR):
```
MnHg2Mo
1.0
4.783 -1.485 0.000
4.783 1.485 0.000
-0.965 0.000 5.171
Mn Hg Mo
1 2 1
Direct
0.000 0.000 0.000
0.253 0.253 0.751
0.747 0.747 0.249
0.500 0.500 0.500
```

Calculated values
Distance to the lowest polymorph of the same formula = 217.1 meV per atom
M_tot = 2.901 μB per formula unit



| no. | calculated total energy (eV/f.u.) | ΔH_f (0 K) (eV per atom) |
| --- | --- | --- |
| 1 | -18.58 | 0.507 |
| 2 | -29.20 | 0.483 |
| 3 | -29.49 | 0.411 |
| 4 | -32.42 | 1.243 |
| 5 | -15.72 | 1.221 |
| 6 | -27.23 | 0.561 |
| 7 | -27.91 | 0.807 |
| 8 | -18.26 | 0.587 |